Entry 1:
KGaBr3: relaxed, PBE.

Cell and atoms, written as CIF:
```
data_KGaBr3
_cell_length_a 6.118
_cell_length_b 6.118
_cell_length_c 6.118
_cell_angle_alpha 90.00
_cell_angle_beta 90.00
_cell_angle_gamma 90.00
_space_group_name_H-M_alt 'P 1'
_space_group_IT_number 1
loop_
_space_group_symop_operation_xyz
'x,y,z'
loop_
_atom_site_label
_atom_site_fract_x
_atom_site_fract_y
_atom_site_fract_z
Ga1 0.500 0.500 0.500
K1 0.000 0.000 0.000
Br1 0.500 0.000 0.000
Br2 0.000 0.000 0.500
Br3 0.000 0.500 0.000
```

Calculated values
Symmetry: No. 221
Energy above the lowest structure with this stoichiometry in kcal/mol of atoms: 17.89
Formation energy without anion corrections in eV/atom: -0.4359

=====

Entry 2:
LaAuC: relaxed, PBE.

Cell and atoms, written as CIF:
```
data_LaAuC
_cell_length_a 4.480
_cell_length_b 7.600
_cell_length_c 4.082
_cell_angle_alpha 77.71
_cell_angle_beta 83.84
_cell_angle_gamma 90.26
_space_group_name_H-M_alt 'P 1'
_space_group_IT_number 1
loop_
_space_group_symop_operation_xyz
'x,y,z'
loop_
_atom_site_label
_atom_site_fract_x
_atom_site_fract_y
_atom_site_fract_z
Au1 0.310 0.534 0.723
C1 0.452 0.211 0.043
Au2 0.821 0.776 0.632
La1 0.842 0.278 0.423
La2 0.328 0.862 0.100
C2 0.235 0.222 0.850
```

Calculated values
Symmetry: No. 1
Formation enthalpy at 0 K in eV per atom: -0.2925

=====

Entry 3:
Ba2AsPd2: relaxed, PBE.

Cell and atoms, written as CIF:
```
data_Ba2AsPd2
_cell_length_a 4.589
_cell_length_b 6.329
_cell_length_c 11.258
_cell_angle_alpha 80.10
_cell_angle_beta 78.24
_cell_angle_gamma 68.75
_space_group_name_H-M_alt 'P 1'
_space_group_IT_number 1
loop_
_space_group_symop_operation_xyz
'x,y,z'
loop_
_atom_site_label
_atom_site_fract_x
_atom_site_fract_y
_atom_site_fract_z
As1 0.436 0.804 0.324
Ba1 0.099 0.694 0.107
Pd1 0.965 0.669 0.402
Ba2 0.702 0.230 0.367
Pd2 0.409 0.063 0.119
As2 0.564 0.196 0.676
Ba3 0.901 0.306 0.893
Pd3 0.591 0.937 0.881
Ba4 0.298 0.770 0.633
Pd4 0.035 0.331 0.598
```

Calculated values
Symmetry: No. 12
Energy above the lowest structure with this stoichiometry in kcal/mol of atoms: 0.00
Formation enthalpy at 0 K in eV per atom: -0.7257

=====

Entry 4:
Nd5Si3: relaxed, PBE.

Cell and atoms, written as CIF:
```
data_Nd5Si3
_cell_length_a 7.791
_cell_length_b 7.791
_cell_length_c 14.053
_cell_angle_alpha 90.00
_cell_angle_beta 90.00
_cell_angle_gamma 90.00
_space_group_name_H-M_alt 'P 1'
_space_group_IT_number 1
loop_
_space_group_symop_operation_xyz
'x,y,z'
loop_
_atom_site_label
_atom_site_fract_x
_atom_site_fract_y
_atom_site_fract_z
Nd1 0.316 0.670 0.894
Si1 0.000 0.500 0.003
Nd2 0.184 0.830 0.106
Nd3 0.500 0.000 0.769
Si2 0.500 0.000 0.997
Si3 0.384 0.616 0.250
Si4 0.884 0.884 0.250
Nd4 0.170 0.184 0.894
Si5 0.116 0.884 0.750
Nd5 0.330 0.684 0.606
Nd6 0.000 0.500 0.731
Si6 0.884 0.116 0.750
Nd7 0.330 0.316 0.106
Nd8 0.170 0.816 0.394
Si7 0.616 0.616 0.750
Nd9 0.830 0.184 0.394
Nd10 0.000 0.500 0.231
Si8 0.000 0.500 0.503
Nd11 0.816 0.830 0.606
Si9 0.616 0.384 0.250
Nd12 0.184 0.170 0.606
Si10 0.384 0.384 0.750
Nd13 0.816 0.170 0.106
Nd14 0.684 0.670 0.394
Nd15 0.316 0.330 0.394
Nd16 0.830 0.816 0.894
Nd17 0.670 0.684 0.106
Nd18 0.684 0.330 0.894
Si11 0.500 0.000 0.497
Nd19 0.500 0.000 0.269
Si12 0.116 0.116 0.250
Nd20 0.670 0.316 0.606
```

Calculated values
Symmetry: No. 130
Energy above the lowest structure with this stoichiometry in kcal/mol of atoms: 0.00
Formation energy without anion corrections in eV/atom: -0.5893

=====

Entry 5:
Li2Pu2Rh15: relaxed, PBE.

Cell and atoms, written as CIF:
```
data_Li2Pu2Rh15
_cell_length_a 6.778
_cell_length_b 6.778
_cell_length_c 6.778
_cell_angle_alpha 82.97
_cell_angle_beta 82.97
_cell_angle_gamma 82.97
_space_group_name_H-M_alt 'P 1'
_space_group_IT_number 1
loop_
_space_group_symop_operation_xyz
'x,y,z'
loop_
_atom_site_label
_atom_site_fract_x
_atom_site_fract_y
_atom_site_fract_z
Li1 0.903 0.903 0.903
Rh1 0.697 0.000 0.303
Rh2 0.350 0.846 0.350
Rh3 0.303 0.000 0.697
Rh4 0.650 0.154 0.650
Pu1 0.346 0.346 0.346
Rh5 0.303 0.697 0.000
Rh6 0.350 0.350 0.846
Rh7 0.846 0.350 0.350
Rh8 0.650 0.650 0.154
Rh9 0.154 0.650 0.650
Rh10 0.500 0.000 0.000
Pu2 0.654 0.654 0.654
Rh11 0.000 0.000 0.500
Rh12 0.000 0.303 0.697
Li2 0.097 0.097 0.097
Rh13 0.000 0.697 0.303
Rh14 0.697 0.303 0.000
Rh15 0.000 0.500 0.000
```

Calculated values
Symmetry: No. 166
Formation enthalpy at 0 K in eV per atom: -0.1360

=====

Entry 6:
AcSmSb2Pd2: relaxed, PBE.

Cell and atoms, written as CIF:
```
data_AcSmSb2Pd2
_cell_length_a 4.660
_cell_length_b 4.660
_cell_length_c 8.202
_cell_angle_alpha 90.00
_cell_angle_beta 90.00
_cell_angle_gamma 120.00
_space_group_name_H-M_alt 'P 1'
_space_group_IT_number 1
loop_
_space_group_symop_operation_xyz
'x,y,z'
loop_
_atom_site_label
_atom_site_fract_x
_atom_site_fract_y
_atom_site_fract_z
Sb1 0.333 0.667 0.265
Sm1 0.000 0.000 0.500
Pd1 0.333 0.667 0.723
Pd2 0.667 0.333 0.277
Sb2 0.667 0.333 0.735
Ac1 0.000 0.000 0.000
```

Calculated values
Symmetry: No. 164
Formation energy without anion corrections in eV/atom: -1.0838

=====

no.,D(E_F) (states/eV/cell),calculated density (g/cm3)
1,9.7,2.527
2,1.9,8.561
3,4.7,6.297
4,28.3,6.271
5,41.3,11.139
6,0.8,8.975